No. 1
The following is a DFT calculation (PBE) of a relaxed structure of PtC3Cl.

Cell: 4.083 4.083 4.083 Å, 90.00 90.00 90.00°
Sites, in units of the cell vectors:
Pt: 0.000 0.000 0.000
C: 0.000 0.000 0.500
Cl: 0.500 0.500 0.500
C: 0.000 0.500 0.000
C: 0.500 0.000 0.000

**ΔE to the lowest computed polymorph**: 0 meV per atom
**E_form (uncorrected)**: 12.5 eV per formula unit
**Symmetry**: Pm-3m



No. 2
The following is a DFT calculation (PBE) of a relaxed structure of PtCCl3.

Cell: 4.841 4.841 4.841 Å, 90.00 90.00 90.00°
Sites, in units of the cell vectors:
Cl: 0.000 0.000 0.500
Cl: 0.500 0.000 0.000
Cl: 0.000 0.500 0.000
Pt: 0.000 0.000 0.000
C: 0.500 0.500 0.500

**ΔE to the lowest computed polymorph**: 0 meV per atom
**E_form (uncorrected)**: 6.7 eV per formula unit
**Symmetry**: Pm-3m



No. 3
The following is a DFT calculation (PBE) of a relaxed structure of Rb2PtCCl6.

Cell: 7.819 7.819 7.158 Å, 56.90 56.90 90.00°
Sites, in units of the cell vectors:
Cl: 0.680 0.680 0.640
Cl: 0.211 0.211 0.000
Rb: 0.750 0.250 0.500
Rb: 0.250 0.750 0.500
Cl: 0.789 0.789 0.000
Pt: 0.000 0.000 0.000
C: 0.500 0.500 0.000
Cl: 0.789 0.211 0.000
Cl: 0.211 0.789 0.000
Cl: 0.320 0.320 0.360

**E_form (uncorrected)**: -5.1 eV per formula unit
**Symmetry**: I4/mmm



No. 4
The following is a DFT calculation (PBE) of a relaxed structure of Re2PtCCl.

Cell: 4.179 4.158 4.179 Å, 90.00 90.00 90.00°
Sites, in units of the cell vectors:
Re: 0.500 0.000 0.000
Cl: 0.500 0.500 0.500
Re: 0.000 0.000 0.500
C: 0.000 0.000 0.000
Pt: 0.000 0.500 0.000

**ΔE to the lowest computed polymorph**: 0 meV per atom
**E_form (uncorrected)**: 5.8 eV per formula unit
**Symmetry**: P4/mmm



No. 5
The following is a DFT calculation (PBE) of a relaxed structure of Re2PtCCl.

Cell: 4.962 4.786 4.962 Å, 90.00 90.00 90.00°
Sites, in units of the cell vectors:
Re: 0.500 0.000 0.000
C: 0.500 0.500 0.500
Cl: 0.000 0.500 0.000
Re: 0.000 0.000 0.500
Pt: 0.000 0.000 0.000

**ΔE to the lowest computed polymorph**: 2069 meV per atom
**E_form (uncorrected)**: 16.1 eV per formula unit
**Symmetry**: P4/mmm



No. 6
The following is a DFT calculation (PBE) of a relaxed structure of RuPtCCl2.

Cell: 4.929 3.751 4.929 Å, 90.00 90.00 90.00°
Sites, in units of the cell vectors:
C: 0.000 0.500 0.000
Ru: 0.000 0.000 0.000
Cl: 0.500 0.000 0.000
Cl: 0.000 0.000 0.500
Pt: 0.500 0.500 0.500

**E_form (uncorrected)**: 5.8 eV per formula unit
**Symmetry**: P4/mmm



No. 7
The following is a DFT calculation (PBE) of a relaxed structure of PtCSCl2.

Cell: 3.855 3.855 5.720 Å, 90.00 90.00 90.00°
Sites, in units of the cell vectors:
Cl: 0.000 0.500 0.000
C: 0.000 0.000 0.000
Cl: 0.500 0.000 0.000
Pt: 0.500 0.500 0.500
S: 0.000 0.000 0.500

**ΔE to the lowest computed polymorph**: 0 meV per atom
**E_form (uncorrected)**: 7.3 eV per formula unit
**Symmetry**: P4/mmm



No. 8
The following is a DFT calculation (PBE) of a relaxed structure of PtCSCl2.

Cell: 4.963 4.963 4.543 Å, 90.00 90.00 90.00°
Sites, in units of the cell vectors:
Cl: 0.000 0.500 0.000
Pt: 0.000 0.000 0.000
Cl: 0.500 0.000 0.000
S: 0.000 0.000 0.500
C: 0.500 0.500 0.500

**ΔE to the lowest computed polymorph**: 74 meV per atom
**E_form (uncorrected)**: 7.6 eV per formula unit
**Symmetry**: P4/mmm



No. 9
The following is a DFT calculation (PBE) of a relaxed structure of Sm4PtCCl2.

Cell: 3.870 7.339 7.175 Å, 71.60 90.00 90.00°
Sites, in units of the cell vectors:
Sm: 0.000 0.297 0.265
Sm: 0.500 0.699 0.291
Sm: 0.500 0.301 0.709
Cl: 0.500 0.000 0.500
C: 0.000 0.500 0.500
Cl: 0.000 0.000 0.000
Pt: 0.500 0.500 0.000
Sm: 0.000 0.703 0.735

**E_form (uncorrected)**: -8.8 eV per formula unit
**Symmetry**: P2/m



No. 10
The following is a DFT calculation (PBE) of a relaxed structure of YPtCCl2.

Cell: 4.633 5.770 4.633 Å, 90.00 90.00 90.00°
Sites, in units of the cell vectors:
Y: 0.000 0.500 0.000
Pt: 0.000 0.000 0.000
C: 0.500 0.500 0.500
Cl: 0.000 0.000 0.500
Cl: 0.500 0.000 0.000

**E_form (uncorrected)**: 4.2 eV per formula unit
**Symmetry**: P4/mmm



No. 11
The following is a DFT calculation (PBE) of a relaxed structure of Pu4C2Cl.

Cell: 3.543 3.543 12.204 Å, 81.65 81.65 60.00°
Sites, in units of the cell vectors:
C: 0.567 0.567 0.299
Cl: 0.000 0.000 0.000
Pu: 0.138 0.138 0.585
Pu: 0.271 0.271 0.188
Pu: 0.729 0.729 0.812
C: 0.433 0.433 0.701
Pu: 0.862 0.862 0.415

**E_form (uncorrected)**: -2.5 eV per formula unit
**Symmetry**: R-3m



No. 12
The following is a DFT calculation (PBE) of a relaxed structure of Pu3C2Cl2.

Cell: 3.506 6.129 7.139 Å, 98.87 90.00 106.62°
Sites, in units of the cell vectors:
Pu: 0.781 0.562 0.217
Pu: 0.000 0.000 0.000
Cl: 0.118 0.236 0.374
Pu: 0.219 0.438 0.783
C: 0.641 0.282 0.949
C: 0.359 0.718 0.051
Cl: 0.882 0.764 0.626

**E_form (uncorrected)**: -4.7 eV per formula unit
**Symmetry**: C2/m



No. 13
The following is a DFT calculation (PBE) of a relaxed structure of RbCCl3.

Cell: 6.134 6.134 6.134 Å, 90.00 90.00 90.00°
Sites, in units of the cell vectors:
Cl: 0.500 0.000 0.000
Cl: 0.000 0.000 0.500
Cl: 0.000 0.500 0.000
Rb: 0.000 0.000 0.000
C: 0.500 0.500 0.500

**ΔE to the lowest computed polymorph**: 1374 meV per atom
**E_form (uncorrected)**: 7.2 eV per formula unit
**Symmetry**: Pm-3m



No. 14
The following is a DFT calculation (PBE) of a relaxed structure of Rb2CCl.

Cell: 5.573 5.573 5.573 Å, 60.00 60.00 60.00°
Sites, in units of the cell vectors:
Rb: 0.750 0.750 0.750
C: 0.000 0.000 0.000
Cl: 0.500 0.500 0.500
Rb: 0.250 0.250 0.250

**ΔE to the lowest computed polymorph**: 0 meV per atom
**E_form (uncorrected)**: 0.9 eV per formula unit
**Symmetry**: Fm-3m



No. 15
The following is a DFT calculation (PBE) of a relaxed structure of Rb3CCl.

Cell: 5.926 5.926 5.926 Å, 90.00 90.00 90.00°
Sites, in units of the cell vectors:
Rb: 0.500 0.000 0.000
Rb: 0.000 0.000 0.500
Rb: 0.000 0.500 0.000
C: 0.000 0.000 0.000
Cl: 0.500 0.500 0.500

**ΔE to the lowest computed polymorph**: 0 meV per atom
**E_form (uncorrected)**: 1.1 eV per formula unit
**Symmetry**: Pm-3m



No. 16
The following is a DFT calculation (PBE) of a relaxed structure of RbCCl.

Cell: 2.820 5.635 10.551 Å, 105.49 97.68 90.00°
Sites, in units of the cell vectors:
Cl: 0.318 0.818 0.636
Rb: 0.842 0.342 0.684
Rb: 0.158 0.658 0.316
C: 0.249 0.500 0.000
Cl: 0.682 0.182 0.364
C: 0.751 0.500 0.000

**E_form (uncorrected)**: -0.8 eV per formula unit
**Symmetry**: Immm



No. 17
The following is a DFT calculation (PBE) of a relaxed structure of RbC3Cl.

Cell: 4.345 4.345 4.345 Å, 90.00 90.00 90.00°
Sites, in units of the cell vectors:
Rb: 0.500 0.500 0.500
C: 0.500 0.000 0.000
C: 0.000 0.500 0.000
C: 0.000 0.000 0.500
Cl: 0.000 0.000 0.000

**ΔE to the lowest computed polymorph**: 0 meV per atom
**E_form (uncorrected)**: 16.8 eV per formula unit
**Symmetry**: Pm-3m



No. 18
The following is a DFT calculation (PBE) of a relaxed structure of Rb3CCl6.

Cell: 7.841 7.841 7.171 Å, 56.85 56.85 90.00°
Sites, in units of the cell vectors:
Cl: 0.710 0.710 0.580
Cl: 0.283 0.283 0.000
C: 0.500 0.500 0.000
Cl: 0.290 0.290 0.420
Cl: 0.717 0.717 0.000
Cl: 0.717 0.283 0.000
Rb: 0.000 0.000 0.000
Rb: 0.750 0.250 0.500
Cl: 0.283 0.717 0.000
Rb: 0.250 0.750 0.500

**E_form (uncorrected)**: -6.0 eV per formula unit
**Symmetry**: I4/mmm



No. 19
The following is a DFT calculation (PBE) of a relaxed structure of Rb2CCl7.

Cell: 7.285 7.285 7.115 Å, 59.21 59.21 90.00°
Sites, in units of the cell vectors:
Cl: 0.699 0.699 0.000
Cl: 0.301 0.699 0.000
Cl: 0.259 0.259 0.482
Cl: 0.301 0.301 0.000
Cl: 0.000 0.000 0.000
Rb: 0.250 0.750 0.500
Rb: 0.750 0.250 0.500
C: 0.500 0.500 0.000
Cl: 0.741 0.741 0.518
Cl: 0.699 0.301 0.000

**E_form (uncorrected)**: -3.5 eV per formula unit
**Symmetry**: I4/mmm



No. 20
The following is a DFT calculation (PBE) of a relaxed structure of RbC3Cl.

Cell: 5.906 5.906 5.906 Å, 90.00 90.00 90.00°
Sites, in units of the cell vectors:
C: 0.000 0.000 0.500
Cl: 0.500 0.500 0.500
C: 0.000 0.500 0.000
Rb: 0.000 0.000 0.000
C: 0.500 0.000 0.000

**ΔE to the lowest computed polymorph**: 735 meV per atom
**E_form (uncorrected)**: 20.5 eV per formula unit
**Symmetry**: Pm-3m